# Nb3FeB

A geometry-optimized Nb3FeB structure (GGA-PBE, Alexandria).

The structure belongs to space group Pm-3m (No. 221); the cell edges are 4.506, 4.506 and 4.506 Å and the angles 90.00°, 90.00° and 90.00°. Symmetry generates all atoms from Nb at (0.000, 0.000, 0.500), Fe at (0.000, 0.000, 0.000) and B at (0.500, 0.500, 0.500).

The total energy comes out at -7.764 eV per atom. The calculation puts the volume at 91.5 Å³ per cell. Its magnetization is 0.0 μB/cell. Its formation energy is 1.306 eV/atom.